Crystalline Sr3BeP3 at its relaxed geometry, computed with PBE.

Properties
total energy: -4.47 eV per atom
total magnetization: 0.0 μB per cell
E_form: -6.263 eV/f.u.

Cell: 9.6689 9.6689 12.2993 Å, 90.00 90.00 37.80°
Sites, in units of the cell vectors:
Sr: 0.0285 0.6275 0.1298
Sr: 0.1275 0.5285 0.6298
Sr: 0.1877 0.8123 0.8530
Sr: 0.3123 0.6877 0.3530
Sr: 0.3725 0.9715 0.1298
Sr: 0.4715 0.8725 0.6298
Sr: 0.5285 0.1275 0.3702
Sr: 0.6275 0.0285 0.8702
Sr: 0.6877 0.3123 0.6470
Sr: 0.8123 0.1877 0.1470
Sr: 0.8725 0.4715 0.3702
Sr: 0.9715 0.3725 0.8702
Be: 0.0801 0.0801 0.5000
Be: 0.4199 0.4199 0.0000
Be: 0.5801 0.5801 0.0000
Be: 0.9199 0.9199 0.5000
P: 0.0356 0.6508 0.3870
P: 0.1508 0.5356 0.8870
P: 0.1963 0.8037 0.5979
P: 0.3037 0.6963 0.0979
P: 0.3492 0.9644 0.3870
P: 0.4644 0.8492 0.8870
P: 0.5356 0.1508 0.1130
P: 0.6508 0.0356 0.6130
P: 0.6963 0.3037 0.9021
P: 0.8037 0.1963 0.4021
P: 0.8492 0.4644 0.1130
P: 0.9644 0.3492 0.6130

Crystalline SrBeP2 at its relaxed geometry, computed with PBE.

Properties
total energy: -4.49 eV per atom
total magnetization: 0.0 μB per cell
E_form: -1.746 eV/f.u.

Cell: 4.3797 3.6167 5.4001 Å, 90.00 90.08 90.00°
Sites, in units of the cell vectors:
Sr: 0.0000 0.0000 0.0000
Be: 0.5000 0.0000 0.5000
P: 0.5004 0.5000 0.2735
P: 0.4996 0.5000 0.7265

Crystalline SrBeP2 at its relaxed geometry, computed with PBE.

Properties
total energy: -3.60 eV per atom
total magnetization: 0.0 μB per cell
E_form: 1.813 eV/f.u.

Cell: 6.7208 6.7208 6.7208 Å, 90.00 90.00 90.00°
Sites, in units of the cell vectors:
Sr: 0.0000 0.0000 0.0000
Sr: 0.0000 0.5000 0.5000
Sr: 0.5000 0.0000 0.5000
Sr: 0.5000 0.5000 0.0000
Be: 0.2500 0.2500 0.7500
Be: 0.2500 0.7500 0.2500
Be: 0.7500 0.2500 0.2500
Be: 0.7500 0.7500 0.7500
P: 0.0000 0.0000 0.5000
P: 0.0000 0.5000 0.0000
P: 0.2500 0.2500 0.2500
P: 0.2500 0.7500 0.7500
P: 0.5000 0.0000 0.0000
P: 0.5000 0.5000 0.5000
P: 0.7500 0.2500 0.7500
P: 0.7500 0.7500 0.2500

Crystalline Sr2BeP2 at its relaxed geometry, computed with PBE.

Properties
total energy: -4.00 eV per atom
total magnetization: 0.0 μB per cell
E_form: -2.091 eV/f.u.

Cell: 7.2217 7.2217 4.4097 Å, 90.00 90.00 90.00°
Sites, in units of the cell vectors:
Sr: 0.1850 0.3150 0.0000
Sr: 0.3150 0.8150 0.0000
Sr: 0.6850 0.1850 0.0000
Sr: 0.8150 0.6850 0.0000
Be: 0.0000 0.0000 0.5000
Be: 0.5000 0.5000 0.5000
P: 0.1103 0.6103 0.5000
P: 0.3897 0.1103 0.5000
P: 0.6103 0.8897 0.5000
P: 0.8897 0.3897 0.5000

Crystalline SrBeP2 at its relaxed geometry, computed with PBE.

Properties
total energy: -3.80 eV per atom
total magnetization: 0.0 μB per cell
E_form: 1.035 eV/f.u.

Cell: 4.0456 4.0456 9.2182 Å, 90.00 90.00 90.00°
Sites, in units of the cell vectors:
Sr: 0.0000 0.0000 0.0000
Sr: 0.5000 0.5000 0.5000
Be: 0.0000 0.5000 0.7500
Be: 0.5000 0.0000 0.2500
P: 0.0000 0.0000 0.5000
P: 0.0000 0.5000 0.2500
P: 0.5000 0.0000 0.7500
P: 0.5000 0.5000 0.0000

Crystalline SrTaBeP2 at its relaxed geometry, computed with PBE.

Properties
total energy: -4.87 eV per atom
total magnetization: 0.0 μB per cell
E_form: 3.749 eV/f.u.

Cell: 4.7979 4.7979 6.1712 Å, 90.00 90.00 90.00°
Sites, in units of the cell vectors:
Sr: 0.0000 0.0000 0.0000
Ta: 0.0000 0.0000 0.5000
Be: 0.5000 0.5000 0.0000
P: 0.0000 0.5000 0.5000
P: 0.5000 0.0000 0.5000

Crystalline Sr2UBe2P4 at its relaxed geometry, computed with PBE.

Properties
total energy: -5.68 eV per atom
total magnetization: 2.0 μB per cell
E_form: -7.344 eV/f.u.

Cell: 7.5057 7.5057 7.1567 Å, 110.45 110.45 29.98°
Sites, in units of the cell vectors:
Sr: 0.1347 0.1347 0.0726
Sr: 0.8653 0.8653 0.9274
U: 0.0000 0.0000 0.5000
Be: 0.3245 0.3245 0.5164
Be: 0.6755 0.6755 0.4836
P: 0.2061 0.2061 0.6648
P: 0.4760 0.4760 0.7473
P: 0.5240 0.5240 0.2527
P: 0.7939 0.7939 0.3352

Crystalline TaBeP at its relaxed geometry, computed with PBE.

Properties
energy relative to the lowest polymorph listed for this composition: 66.8 meV per atom
total energy: -7.22 eV per atom
total magnetization: 0.0 μB per cell
E_form: -0.662 eV/f.u.

Cell: 3.0689 3.0689 8.3132 Å, 90.00 90.00 90.00°
Sites, in units of the cell vectors:
Ta: 0.0000 0.0000 0.0000
Ta: 0.5000 0.5000 0.5000
Be: 0.0000 0.0000 0.3066
Be: 0.5000 0.5000 0.8066
P: 0.0000 0.0000 0.6813
P: 0.5000 0.5000 0.1813